No. 1
{"formula": "NaAuO2", "functional": "PBE-GGA", "state": "relaxed", "lattice_angstrom": [[6.033, 0.000, 0.000], [0.000, 11.493, 0.000], [0.000, 0.000, 4.032]], "species": ["Na", "Na", "Na", "Na", "Au", "Au", "Au", "Au", "O", "O", "O", "O", "O", "O", "O", "O"], "frac_coords": [[0.000, 0.000, 0.000], [0.000, 0.500, 0.000], [0.500, 0.000, 0.500], [0.500, 0.500, 0.500], [0.000, 0.250, 0.266], [0.000, 0.750, 0.734], [0.500, 0.250, 0.234], [0.500, 0.750, 0.766], [0.250, 0.131, 0.250], [0.250, 0.369, 0.250], [0.250, 0.631, 0.750], [0.250, 0.869, 0.750], [0.750, 0.131, 0.250], [0.750, 0.369, 0.250], [0.750, 0.631, 0.750], [0.750, 0.869, 0.750]], "e_tot_ev_per_atom": -4.33, "rho_g_cm3": 5.99, "e_form_raw_kj_per_mol_fu": -271}

No. 2
{"formula": "Na5AuO", "functional": "PBE-GGA", "state": "relaxed", "lattice_angstrom": [[6.364, -3.351, 0.000], [6.364, 3.351, 0.000], [-3.207, 0.000, 8.454]], "species": ["Na", "Na", "Na", "Na", "Na", "Na", "Na", "Na", "Na", "Na", "Au", "Au", "O", "O"], "frac_coords": [[0.006, 0.994, 0.750], [0.118, 0.621, 0.432], [0.126, 0.619, 0.939], [0.379, 0.882, 0.068], [0.381, 0.874, 0.561], [0.619, 0.126, 0.439], [0.621, 0.118, 0.932], [0.874, 0.381, 0.061], [0.882, 0.379, 0.568], [0.994, 0.006, 0.250], [0.499, 0.501, 0.750], [0.501, 0.499, 0.250], [0.000, 0.000, 0.000], [0.000, 0.000, 0.500]], "e_tot_ev_per_atom": -2.69, "rho_g_cm3": 3.02, "e_form_raw_kj_per_mol_fu": -386}